A relaxed Li17Ni11O28 crystal. Source: Alexandria, functional GGA+U.

Structure (POSCAR):
```
Li17Ni11O28
1.0
-3.263 -5.184 -2.209
5.242 -4.605 3.053
-7.309 2.441 6.680
O Li Ni
28 17 11
direct
0.361 0.475 0.900
0.062 0.240 0.396
0.992 0.443 0.668
0.493 0.954 0.683
0.231 0.815 0.814
0.306 0.609 0.531
0.431 0.273 0.621
0.507 0.046 0.317
0.269 0.676 0.182
0.731 0.324 0.818
0.370 0.395 0.244
0.794 0.109 0.533
0.555 0.814 0.037
0.914 0.667 0.972
0.870 0.899 0.251
0.838 0.984 0.907
0.086 0.333 0.028
0.569 0.727 0.379
0.445 0.186 0.963
0.694 0.391 0.469
0.130 0.101 0.749
0.162 0.016 0.093
0.206 0.891 0.467
0.938 0.760 0.604
0.639 0.525 0.100
0.769 0.185 0.186
0.008 0.557 0.332
0.630 0.605 0.756
0.321 0.540 0.714
0.969 0.597 0.144
0.500 0.000 0.500
0.613 0.691 0.572
0.902 0.822 0.429
0.927 0.718 0.788
0.178 0.976 0.284
0.754 0.244 0.006
0.073 0.282 0.212
0.098 0.178 0.571
0.246 0.756 0.994
0.822 0.024 0.716
0.031 0.403 0.856
0.541 0.891 0.856
0.679 0.460 0.286
0.387 0.309 0.428
0.459 0.109 0.144
0.859 0.934 0.074
0.287 0.643 0.357
0.430 0.214 0.785
0.141 0.066 0.926
0.000 0.500 0.500
0.644 0.572 0.929
0.356 0.428 0.071
0.783 0.144 0.358
0.570 0.786 0.215
0.217 0.856 0.642
0.713 0.357 0.643
```

Density of states at the Fermi level   0.01 states/eV per atom
ΔE to the lowest computed polymorph   0.006 eV/atom
E   -4.852 eV per atom
Total moment   0.0893 μB/atom